Compound: B2Pd2Pt5
Source: the Alexandria database
Functional: PBE
Structure: optimized geometry

Summary:
Magnetic moment = 0.00 Bohr magnetons per cell
Total energy = -55.589 eV/f.u.

Cell and atoms, written as CIF:
```
data_B2Pd2Pt5
_chemical_formula_sum 'B2 Pd2 Pt5'
_cell_length_a 4.2962
_cell_length_b 5.4612
_cell_length_c 5.6592
_cell_angle_alpha 82.80
_cell_angle_beta 84.28
_cell_angle_gamma 81.40
_space_group_name_H-M_alt 'P -1'
_space_group_IT_number 2
_space_group_name_Hall '-P 1'
loop_
_atom_site_label
_atom_site_type_symbol
_atom_site_fract_x
_atom_site_fract_y
_atom_site_fract_z
_atom_site_occupancy
B1 B 0.2091 0.3389 0.3239 1
Pd1 Pd 0.3204 0.8083 0.5890 1
Pt1 Pt 0.1044 0.3339 0.7013 1
Pt2 Pt 0.2292 0.0502 0.1274 1
Pt3 Pt 0.5000 0.5000 0.0000 1
```

Compound: PdSe2S
Source: the Alexandria database
Functional: PBE
Structure: optimized geometry

Summary:
Raw formation energy = 0.01 eV/f.u.
Magnetic moment = 0.00 Bohr magnetons per cell
Total energy = -16.279 eV/f.u.

Cell and atoms, written as CIF:
```
data_PdSe2S
_chemical_formula_sum 'Pd3 Se6 S3'
_cell_length_a 3.8862
_cell_length_b 3.8862
_cell_length_c 21.5809
_cell_angle_alpha 90.00
_cell_angle_beta 90.00
_cell_angle_gamma 120.00
_space_group_name_H-M_alt 'R -3 m'
_space_group_IT_number 166
_space_group_name_Hall '-R 3 2"'
loop_
_atom_site_label
_atom_site_type_symbol
_atom_site_fract_x
_atom_site_fract_y
_atom_site_fract_z
_atom_site_occupancy
Pd1 Pd 0.0000 0.0000 0.0000 1
Se1 Se 0.0000 0.0000 0.3921 1
S1 S 0.0000 0.0000 0.5000 1
```

Compound: NdHo6In3
Source: the Alexandria database
Functional: PBE
Structure: optimized geometry

Summary:
Magnetic moment = 0.00 Bohr magnetons per cell
Total energy = -42.335 eV/f.u.

Cell and atoms, written as CIF:
```
data_NdHo6In3
_chemical_formula_sum 'Nd4 Ho24 In12'
_cell_length_a 12.4747
_cell_length_b 14.1361
_cell_length_c 6.7623
_cell_angle_alpha 90.00
_cell_angle_beta 90.00
_cell_angle_gamma 90.00
_space_group_name_H-M_alt 'C m c 21'
_space_group_IT_number 36
_space_group_name_Hall 'C 2c -2'
loop_
_atom_site_label
_atom_site_type_symbol
_atom_site_fract_x
_atom_site_fract_y
_atom_site_fract_z
_atom_site_occupancy
Nd1 Nd 0.0000 0.2052 0.0000 1
Ho1 Ho 0.0000 0.1932 0.4839 1
Ho2 Ho 0.0000 0.4225 0.7635 1
Ho3 Ho 0.2215 0.0263 0.4974 1
Ho4 Ho 0.2292 0.2851 0.6725 1
In1 In 0.0000 0.0015 0.7402 1
In2 In 0.1157 0.3794 0.2879 1
```